Density functional theory data (GGA+U) for an optimized crystal structure of CsPaFe2O8.

## Properties
* calculated total energy: -6.679 eV/atom
* DOS(E_F): 8.11 states/eV per cell

a = 5.887 Å, b = 5.887 Å, c = 8.403 Å
α = 90.00°, β = 90.00°, γ = 120.00°
Positions (direct):
Cs: 0.000 0.000 0.000
Pa: 0.000 0.000 0.500
Fe: 0.333 0.667 0.722
Fe: 0.667 0.333 0.278
O: 0.164 0.334 0.653
O: 0.171 0.836 0.653
O: 0.333 0.667 0.921
O: 0.334 0.171 0.347
O: 0.666 0.829 0.653
O: 0.667 0.333 0.079
O: 0.829 0.164 0.347
O: 0.836 0.666 0.347